Entry 1:
Computed, not measured: an optimized crystal structure of LaCu2Pt at the PBE level of DFT.

The formation energy comes out at -1.11 eV per formula unit. Its crystal system is cubic. The excess energy over the best structure of this formula in the dataset is 0.97 eV per formula unit. The calculation puts the final energy at -20.27 eV per formula unit. The value obtained for the mass density is 9889 kg/m3.

Unit cell a=6.766 b=6.766 c=6.766 alpha=90.00 beta=90.00 gamma=90.00
Sites, in units of the cell vectors:
La 0.000 0.000 0.000
La 0.000 0.500 0.500
La 0.500 0.000 0.500
La 0.500 0.500 0.000
Cu 0.000 0.000 0.500
Cu 0.000 0.500 0.000
Cu 0.250 0.250 0.250
Cu 0.250 0.750 0.750
Cu 0.500 0.000 0.000
Cu 0.500 0.500 0.500
Cu 0.750 0.250 0.750
Cu 0.750 0.750 0.250
Pt 0.250 0.250 0.750
Pt 0.250 0.750 0.250
Pt 0.750 0.250 0.250
Pt 0.750 0.750 0.750

***

Entry 2:
Computed, not measured: an optimized crystal structure of Cs7Cu6F19 at the PBE level of DFT.

The uncorrected formation energy comes out at -2.117 eV/atom. Its crystal system is monoclinic. The calculation puts the final energy at -133.84 eV per formula unit. The value obtained for the mass density is 4671 kg/m3.

Unit cell a=11.594 b=6.360 c=16.240 alpha=90.00 beta=96.83 gamma=90.00
Sites, in units of the cell vectors:
Cs 0.000 0.000 0.000
Cs 0.000 0.500 0.500
Cs 0.093 0.007 0.705
Cs 0.093 0.493 0.205
Cs 0.341 0.501 0.434
Cs 0.341 0.999 0.934
Cs 0.445 0.004 0.650
Cs 0.445 0.496 0.150
Cs 0.555 0.504 0.850
Cs 0.555 0.996 0.350
Cs 0.659 0.001 0.066
Cs 0.659 0.499 0.566
Cs 0.907 0.507 0.795
Cs 0.907 0.993 0.295
Cu 0.173 0.001 0.486
Cu 0.173 0.499 0.986
Cu 0.229 0.501 0.821
Cu 0.229 0.999 0.321
Cu 0.268 0.502 0.652
Cu 0.268 0.998 0.152
Cu 0.732 0.002 0.848
Cu 0.732 0.498 0.348
Cu 0.771 0.001 0.679
Cu 0.771 0.499 0.179
Cu 0.827 0.501 0.014
Cu 0.827 0.999 0.514
F 0.000 0.000 0.500
F 0.000 0.500 0.000
F 0.117 0.003 0.189
F 0.117 0.497 0.689
F 0.140 0.189 0.389
F 0.140 0.311 0.889
F 0.144 0.727 0.861
F 0.144 0.773 0.361
F 0.208 0.713 0.068
F 0.208 0.787 0.568
F 0.223 0.224 0.073
F 0.223 0.276 0.573
F 0.314 0.227 0.281
F 0.314 0.273 0.781
F 0.315 0.691 0.752
F 0.315 0.809 0.252
F 0.333 0.507 0.958
F 0.333 0.993 0.458
F 0.422 0.507 0.622
F 0.422 0.993 0.122
F 0.578 0.007 0.878
F 0.578 0.493 0.378
F 0.667 0.007 0.542
F 0.667 0.493 0.042
F 0.685 0.191 0.748
F 0.685 0.309 0.248
F 0.686 0.727 0.219
F 0.686 0.773 0.719
F 0.777 0.724 0.427
F 0.777 0.776 0.927
F 0.792 0.213 0.432
F 0.792 0.287 0.932
F 0.856 0.227 0.639
F 0.856 0.273 0.139
F 0.860 0.689 0.111
F 0.860 0.811 0.611
F 0.883 0.503 0.311
F 0.883 0.997 0.811

***

Entry 3:
Computed, not measured: an optimized crystal structure of Co2Pt at the PBE level of DFT.

The formation energy comes out at 0.42 eV per formula unit. Its crystal system is orthorhombic. The calculation puts the final energy at -19.83 eV per formula unit. The value obtained for the mass density is 12672 kg/m3.

Unit cell a=2.624 b=3.997 c=15.642 alpha=90.00 beta=90.00 gamma=90.00
Sites, in units of the cell vectors:
Co 0.000 0.250 0.036
Co 0.000 0.250 0.188
Co 0.000 0.750 0.812
Co 0.000 0.750 0.964
Co 0.500 0.250 0.312
Co 0.500 0.250 0.464
Co 0.500 0.750 0.536
Co 0.500 0.750 0.688
Pt 0.000 0.250 0.617
Pt 0.000 0.750 0.383
Pt 0.500 0.250 0.883
Pt 0.500 0.750 0.117

***

Entry 4:
Computed, not measured: an optimized crystal structure of AcSmInGa at the PBE level of DFT.

The formation energy comes out at -1.71 eV per formula unit. Its crystal system is cubic. The calculation puts the final energy at -16.31 eV per formula unit. The value obtained for the mass density is 7880 kg/m3.

Unit cell a=7.795 b=7.795 c=7.795 alpha=90.00 beta=90.00 gamma=90.00
Sites, in units of the cell vectors:
Ac 0.000 0.000 0.000
Ac 0.000 0.500 0.500
Ac 0.500 0.000 0.500
Ac 0.500 0.500 0.000
Sm 0.000 0.000 0.500
Sm 0.000 0.500 0.000
Sm 0.500 0.000 0.000
Sm 0.500 0.500 0.500
In 0.250 0.250 0.250
In 0.250 0.750 0.750
In 0.750 0.250 0.750
In 0.750 0.750 0.250
Ga 0.250 0.250 0.750
Ga 0.250 0.750 0.250
Ga 0.750 0.250 0.250
Ga 0.750 0.750 0.750